[1]
Tb2Ni15Pd2: relaxed, GGA-PBE.

Space group: R-3m (166)
Density in Mg/m³: 9.4
V in A^3/atom: 13.09
Final energy in eV/atom: -5.812

a = 6.327 Å, b = 6.327 Å, c = 6.327 Å
α = 83.44°, β = 83.44°, γ = 83.44°
Site moments in Bohr magnetons follow the coordinates.
Atoms (fractional coordinates):
Tb1 0.343 0.343 0.343  -0.11
Tb2 0.657 0.657 0.657  -0.11
Ni1 0.500 0.000 0.000  0.53
Ni2 0.000 0.000 0.500  0.53
Ni3 0.000 0.500 0.000  0.53
Ni4 0.000 0.702 0.298  0.49
Ni5 0.702 0.298 0.000  0.49
Ni6 0.298 0.000 0.702  0.49
Ni7 0.298 0.702 0.000  0.49
Ni8 0.702 0.000 0.298  0.49
Ni9 0.000 0.298 0.702  0.49
Ni10 0.160 0.651 0.651  0.48
Ni11 0.651 0.651 0.160  0.48
Ni12 0.651 0.160 0.651  0.48
Ni13 0.840 0.349 0.349  0.48
Ni14 0.349 0.349 0.840  0.48
Ni15 0.349 0.840 0.349  0.48
Pd1 0.107 0.107 0.107  0.10
Pd2 0.893 0.893 0.893  0.10

***

[2]
Tb3NiPd: relaxed, GGA-PBE.

Excess energy over the best structure of this formula in the dataset in eV/f.u.: 0.00
Space group: Cm (8)
Density in Mg/m³: 8.9
V in A^3/atom: 23.99
Final energy in eV/atom: -5.479

a = 3.915 Å, b = 7.977 Å, c = 7.933 Å
α = 87.14°, β = 89.98°, γ = 104.20°
Atoms (fractional coordinates):
Tb1 0.079 0.190 0.399
Tb2 0.417 0.868 0.657
Tb3 0.627 0.286 0.764
Tb4 0.965 0.964 0.022
Tb5 0.257 0.547 0.019
Tb6 0.787 0.607 0.402
Ni1 0.236 0.504 0.641
Ni2 0.809 0.651 0.781
Pd1 0.429 0.891 0.284
Pd2 0.615 0.263 0.138

***

[3]
Tb3NiPd2: relaxed, GGA-PBE.

Space group: Pnma (62)
Density in Mg/m³: 9.2
V in A^3/atom: 22.48
Final energy in eV/atom: -5.703

a = 4.121 Å, b = 11.413 Å, c = 11.472 Å
α = 90.00°, β = 90.00°, γ = 90.00°
Atoms (fractional coordinates):
Tb1 0.250 0.374 0.051
Tb2 0.750 0.626 0.949
Tb3 0.750 0.874 0.449
Tb4 0.250 0.126 0.551
Tb5 0.250 0.697 0.223
Tb6 0.750 0.303 0.777
Tb7 0.750 0.197 0.277
Tb8 0.250 0.803 0.723
Tb9 0.250 0.444 0.380
Tb10 0.750 0.556 0.620
Tb11 0.750 0.944 0.120
Tb12 0.250 0.056 0.880
Ni1 0.250 0.128 0.123
Ni2 0.750 0.872 0.877
Ni3 0.750 0.628 0.377
Ni4 0.250 0.372 0.623
Pd1 0.250 0.694 0.495
Pd2 0.750 0.306 0.505
Pd3 0.750 0.194 0.005
Pd4 0.250 0.806 0.995
Pd5 0.250 0.002 0.315
Pd6 0.750 0.998 0.685
Pd7 0.750 0.502 0.185
Pd8 0.250 0.498 0.815